No. 1
VASP calculation (GGA-PBE) on a relaxed structure of YGa2NiHg.

Unit cell a=4.5755 b=4.9276 c=4.5755 alpha=90.00 beta=90.00 gamma=90.00
Positions (direct):
Y  0.5000  0.5000  0.5000
Ni  0.0000  0.0000  0.0000
Hg  0.0000  0.5000  0.0000
Ga  0.0000  0.0000  0.5000
Ga  0.5000  0.0000  0.0000

Properties
The energy of formation from the pure elements is -0.23 eV/atom. The uncorrected energy comes out at -3.954 eV per atom.


No. 2
VASP calculation (GGA-PBE) on a relaxed structure of ZnGa2NiHg.

Unit cell a=4.6011 b=4.6011 c=4.7535 alpha=90.00 beta=90.00 gamma=90.00
Positions (direct):
Ni  0.0000  0.0000  0.0000
Zn  0.0000  0.0000  0.5000
Hg  0.5000  0.5000  0.5000
Ga  0.0000  0.5000  0.0000
Ga  0.5000  0.0000  0.0000

Properties
The energy of formation from the pure elements is -0.05 eV/atom. The uncorrected energy comes out at -2.729 eV per atom. The polymorph energy (0 for the lowest one) comes out at 0 meV/atom.


No. 3
VASP calculation (GGA-PBE) on a relaxed structure of ZnGa2NiHg.

Unit cell a=4.7167 b=5.1043 c=4.7167 alpha=90.00 beta=90.00 gamma=90.00
Site moments in Bohr magnetons follow the coordinates.
Positions (direct):
Ni  0.5000  0.5000  0.5000  0.24
Zn  0.0000  0.0000  0.0000  0.00
Hg  0.0000  0.5000  0.0000  0.00
Ga  0.0000  0.0000  0.5000  0.00
Ga  0.5000  0.0000  0.0000  -0.01

Properties
The energy of formation from the pure elements is 0.73 eV/atom. The uncorrected energy comes out at -1.957 eV per atom. The polymorph energy (0 for the lowest one) comes out at 772 meV/atom.


No. 4
VASP calculation (GGA-PBE) on a relaxed structure of Zr2GaNiHg.

Unit cell a=5.0279 b=4.7375 c=5.0279 alpha=90.00 beta=90.00 gamma=90.00
Positions (direct):
Ni  0.5000  0.5000  0.5000
Ga  0.0000  0.0000  0.0000
Hg  0.0000  0.5000  0.0000
Zr  0.0000  0.0000  0.5000
Zr  0.5000  0.0000  0.0000

Properties
The energy of formation from the pure elements is 0.82 eV/atom. The uncorrected energy comes out at -4.419 eV per atom.


No. 5
VASP calculation (GGA-PBE) on a relaxed structure of NpGaHg2.

Unit cell a=4.8355 b=4.4257 c=4.4257 alpha=90.00 beta=90.00 gamma=90.00
Site moments in Bohr magnetons follow the coordinates.
Positions (direct):
Np  0.5000  0.0000  0.0000  4.13
Hg  0.0000  0.0000  0.5000  0.05
Hg  0.0000  0.5000  0.0000  0.05
Ga  0.5000  0.5000  0.5000  0.08

Properties
The energy of formation from the pure elements is 0.13 eV/atom. The uncorrected energy comes out at -4.018 eV per atom.


No. 6
VASP calculation (GGA-PBE) on a relaxed structure of Np2Ga9Hg.

Unit cell a=4.2399 b=4.2399 c=13.1615 alpha=90.00 beta=90.00 gamma=90.00
Site moments in Bohr magnetons follow the coordinates.
Positions (direct):
Np  0.0000  0.0000  0.3342  3.80
Np  0.0000  0.0000  0.6658  3.80
Ga  0.5000  0.5000  0.0000  0.02
Ga  0.5000  0.5000  0.3456  0.03
Ga  0.5000  0.5000  0.6544  0.03
Ga  0.5000  0.0000  0.1693  0.02
Ga  0.5000  0.0000  0.5000  0.02
Ga  0.5000  0.0000  0.8307  0.02
Ga  0.0000  0.5000  0.1693  0.02
Ga  0.0000  0.5000  0.5000  0.02
Ga  0.0000  0.5000  0.8307  0.02
Hg  0.0000  0.0000  0.0000  0.04

Properties
The energy of formation from the pure elements is -0.06 eV/atom. The uncorrected energy comes out at -4.515 eV per atom.